Below is crystalline Ba2SbTe at its relaxed geometry, with properties calculated at the PBEsol level.

Calculated values
formation energy from raw total energies	-1.23	eV per atom
DOS at the Fermi energy	0.95	states/eV/cell
relative energy among the computed polymorphs	0	meV/atom

Cell and atoms, written as POSCAR:
```
Ba2SbTe
1.0
-2.345 -3.316 -0.244
0.324 0.070 -4.055
7.141 -5.085 0.482
Ba Sb Te
2 1 1
direct
0.000 0.000 0.739
0.000 0.000 0.261
0.500 0.500 0.000
0.500 0.500 0.500
```

Below is crystalline BaTiSb2Te at its relaxed geometry, with properties calculated at the PBEsol level.

Calculated values
formation energy from raw total energies	-0.62	eV per atom
DOS at the Fermi energy	3.28	states/eV/cell

Cell and atoms, written as POSCAR:
```
BaTiSb2Te
1.0
-3.034 3.079 2.956
-3.499 -3.871 0.440
2.604 -1.832 4.581
Sb Te Ba Ti
2 1 1 1
direct
0.000 0.500 0.000
0.500 0.000 0.000
0.000 0.000 0.500
0.500 0.500 0.500
0.000 0.000 0.000
```

Below is crystalline BaYSbTe2 at its relaxed geometry, with properties calculated at the PBEsol level.

Calculated values
formation energy from raw total energies	-0.87	eV per atom
DOS at the Fermi energy	4.78	states/eV/cell

Cell and atoms, written as POSCAR:
```
BaYSbTe2
1.0
5.706 0.000 0.000
0.000 5.788 0.000
0.000 0.000 5.788
Y Sb Te Ba
1 1 2 1
direct
0.000 0.000 0.000
0.500 0.000 0.000
0.000 0.000 0.500
0.000 0.500 0.000
0.500 0.500 0.500
```

Below is crystalline BaTiSb3 at its relaxed geometry, with properties calculated at the PBEsol level.

Calculated values
formation energy from raw total energies	-0.49	eV per atom
DOS at the Fermi energy	2.86	states/eV/cell

Cell and atoms, written as POSCAR:
```
BaTiSb3
1.0
5.302 0.000 0.000
0.000 5.302 0.000
0.000 0.000 5.302
Sb Ba Ti
3 1 1
direct
0.000 0.500 0.000
0.000 0.000 0.500
0.500 0.000 0.000
0.500 0.500 0.500
0.000 0.000 0.000
```

Below is crystalline Ba3TiSb at its relaxed geometry, with properties calculated at the PBEsol level.

Calculated values
formation energy from raw total energies	0.35	eV per atom
DOS at the Fermi energy	5.67	states/eV/cell

Cell and atoms, written as POSCAR:
```
Ba3TiSb
1.0
-1.766 -4.714 2.862
5.221 -2.398 -0.728
1.778 2.358 4.981
Sb Ba Ti
1 3 1
direct
0.500 0.500 0.500
0.000 0.500 0.000
0.000 0.000 0.500
0.500 0.000 0.000
0.000 0.000 0.000
```

Below is crystalline Ba2TlSb at its relaxed geometry, with properties calculated at the PBEsol level.

Calculated values
formation energy from raw total energies	-0.35	eV per atom
DOS at the Fermi energy	5.51	states/eV/cell
relative energy among the computed polymorphs	366	meV/atom

Cell and atoms, written as POSCAR:
```
Ba2TlSb
1.0
-4.802 -0.047 3.310
-5.106 -1.641 -2.293
-2.407 -5.074 1.574
Ba Sb Tl
2 1 1
direct
0.000 0.000 0.000
0.750 0.750 0.750
0.500 0.500 0.500
0.250 0.250 0.250
```

Below is crystalline BaTl2Sb2 at its relaxed geometry, with properties calculated at the PBEsol level.

Calculated values
formation energy from raw total energies	-0.41	eV per atom
DOS at the Fermi energy	1.74	states/eV/cell

Cell and atoms, written as POSCAR:
```
BaTl2Sb2
1.0
4.850 0.000 0.000
0.000 4.850 0.000
-2.425 -2.425 7.210
Sb Tl Ba
2 2 1
direct
0.400 0.400 0.800
0.600 0.600 0.200
0.250 0.750 0.500
0.750 0.250 0.500
0.000 0.000 0.000
```

Below is crystalline Ba2TlSb at its relaxed geometry, with properties calculated at the PBEsol level.

Calculated values
formation energy from raw total energies	-0.72	eV per atom
DOS at the Fermi energy	1.55	states/eV/cell
relative energy among the computed polymorphs	0	meV/atom

Cell and atoms, written as POSCAR:
```
Ba2TlSb
1.0
4.379 0.000 0.000
0.000 4.379 0.000
0.000 0.000 7.604
Sb Tl Ba
1 1 2
direct
0.500 0.500 0.500
0.500 0.500 0.000
0.000 0.000 0.271
0.000 0.000 0.729
```

Below is crystalline Ba2TlSb at its relaxed geometry, with properties calculated at the PBEsol level.

Calculated values
formation energy from raw total energies	-0.71	eV per atom
DOS at the Fermi energy	1.79	states/eV/cell
relative energy among the computed polymorphs	6	meV/atom

Cell and atoms, written as POSCAR:
```
Ba2TlSb
1.0
-4.421 -1.594 0.332
-0.154 -0.712 -5.470
1.900 -5.140 0.615
Sb Tl Ba
1 1 2
direct
0.500 0.000 0.623
0.500 0.500 0.127
0.000 0.000 0.124
0.000 0.500 0.626
```

Below is crystalline BaTlSb at its relaxed geometry, with properties calculated at the PBEsol level.

Calculated values
formation energy from raw total energies	-0.67	eV per atom
relative energy among the computed polymorphs	0	meV/atom

Cell and atoms, written as POSCAR:
```
BaTlSb
1.0
4.884 0.000 0.000
-2.442 4.230 0.000
0.000 0.000 5.148
Sb Tl Ba
1 1 1
direct
0.333 0.667 0.616
0.667 0.333 0.380
0.000 0.000 0.004
```

Below is crystalline BaTlSb at its relaxed geometry, with properties calculated at the PBEsol level.

Calculated values
formation energy from raw total energies	-0.66	eV per atom
relative energy among the computed polymorphs	5	meV/atom

Cell and atoms, written as POSCAR:
```
BaTlSb
1.0
-2.310 2.156 -3.658
3.739 -2.931 -0.894
-6.916 -8.606 -0.703
Sb Tl Ba
2 2 2
direct
0.667 0.333 0.266
0.333 0.667 0.766
0.000 0.000 0.644
0.000 0.000 0.144
0.667 0.333 0.940
0.333 0.667 0.440
```

Below is crystalline BaTlSb3 at its relaxed geometry, with properties calculated at the PBEsol level.

Calculated values
formation energy from raw total energies	0.77	eV per atom
DOS at the Fermi energy	4.91	states/eV/cell

Cell and atoms, written as POSCAR:
```
BaTlSb3
1.0
-5.193 -2.814 1.602
0.665 -3.890 -4.677
3.169 -3.794 3.607
Sb Tl Ba
3 1 1
direct
0.000 0.500 0.000
0.000 0.000 0.500
0.500 0.000 0.000
0.500 0.500 0.500
0.000 0.000 0.000
```

Below is crystalline BaSb2W at its relaxed geometry, with properties calculated at the PBEsol level.

Calculated values
formation energy from raw total energies	-0.04	eV per atom
DOS at the Fermi energy	1.79	states/eV/cell
relative energy among the computed polymorphs	0	meV/atom

Cell and atoms, written as POSCAR:
```
BaSb2W
1.0
-3.212 -0.473 1.131
1.007 -2.828 1.675
1.685 4.560 6.690
Ba Sb W
1 2 1
direct
0.500 0.500 0.500
0.000 0.000 0.811
0.000 0.000 0.189
0.500 0.500 0.000
```

Below is crystalline BaSb2W at its relaxed geometry, with properties calculated at the PBEsol level.

Calculated values
formation energy from raw total energies	0.87	eV per atom
DOS at the Fermi energy	2.75	states/eV/cell
relative energy among the computed polymorphs	905	meV/atom

Cell and atoms, written as POSCAR:
```
BaSb2W
1.0
-3.144 1.949 3.683
-2.845 -3.213 2.971
1.187 -0.627 5.044
Ba Sb W
1 2 1
direct
0.500 0.500 0.500
0.000 0.000 0.000
0.750 0.750 0.750
0.250 0.250 0.250
```

Below is crystalline BaSb2W at its relaxed geometry, with properties calculated at the PBEsol level.

Calculated values
formation energy from raw total energies	0.33	eV per atom
DOS at the Fermi energy	2.93	states/eV/cell
relative energy among the computed polymorphs	372	meV/atom

Cell and atoms, written as POSCAR:
```
BaSb2W
1.0
-3.104 0.048 0.807
0.126 -4.257 0.736
2.029 1.394 7.718
Ba Sb W
1 2 1
direct
0.500 0.500 0.759
0.000 0.000 0.027
0.500 0.500 0.345
0.000 0.000 0.369
```

Below is crystalline BaSb2W at its relaxed geometry, with properties calculated at the PBEsol level.

Calculated values
formation energy from raw total energies	0.71	eV per atom
DOS at the Fermi energy	3.23	states/eV/cell
relative energy among the computed polymorphs	751	meV/atom

Cell and atoms, written as POSCAR:
```
BaSb2W
1.0
4.453 0.000 0.000
0.000 4.777 0.000
0.000 0.000 4.876
Ba Sb W
1 2 1
direct
0.500 0.000 0.500
0.000 0.000 0.000
0.000 0.500 0.500
0.500 0.500 0.000
```

Below is crystalline BaSb2W at its relaxed geometry, with properties calculated at the PBEsol level.

Calculated values
formation energy from raw total energies	0.32	eV per atom
DOS at the Fermi energy	2.28	states/eV/cell
relative energy among the computed polymorphs	354	meV/atom

Cell and atoms, written as POSCAR:
```
BaSb2W
1.0
6.008 0.000 0.000
0.000 6.008 0.000
-3.004 -3.004 8.171
Sb Ba W
4 2 2
direct
0.166 0.875 0.250
0.084 0.375 0.250
0.125 0.916 0.750
0.625 0.834 0.750
0.750 0.250 0.500
0.500 0.500 0.000
0.250 0.750 0.500
0.000 0.000 0.000
```

Below is crystalline BaY3Sb at its relaxed geometry, with properties calculated at the PBEsol level.

Calculated values
formation energy from raw total energies	0.92	eV per atom
DOS at the Fermi energy	3.81	states/eV/cell

Cell and atoms, written as POSCAR:
```
BaY3Sb
1.0
5.512 0.000 0.000
0.000 5.512 0.000
0.000 0.000 5.512
Y Sb Ba
3 1 1
direct
0.000 0.500 0.000
0.000 0.000 0.500
0.500 0.000 0.000
0.500 0.500 0.500
0.000 0.000 0.000
```

Below is crystalline BaZnSb2 at its relaxed geometry, with properties calculated at the PBEsol level.

Calculated values
formation energy from raw total energies	-0.35	eV per atom
DOS at the Fermi energy	3.71	states/eV/cell

Cell and atoms, written as POSCAR:
```
BaZnSb2
1.0
-4.402 2.983 -2.095
-2.693 -0.448 5.021
7.298 6.146 1.210
Sb Zn Ba
4 2 2
direct
0.544 0.875 0.250
0.706 0.375 0.250
0.125 0.294 0.750
0.625 0.456 0.750
0.750 0.250 0.500
0.500 0.500 0.000
0.250 0.750 0.500
0.000 0.000 0.000
```

Below is crystalline BaZnSb2 at its relaxed geometry, with properties calculated at the PBEsol level.

Calculated values
formation energy from raw total energies	-0.29	eV per atom
DOS at the Fermi energy	1.12	states/eV/cell

Cell and atoms, written as POSCAR:
```
BaZnSb2
1.0
4.320 0.000 0.000
0.000 5.458 0.000
-2.160 -2.729 5.046
Ba Sb Zn
1 2 1
direct
0.259 0.759 0.518
0.038 0.038 0.075
0.736 0.236 0.472
0.467 0.467 0.935
```

Below is crystalline Ba2ZnSb2 at its relaxed geometry, with properties calculated at the PBEsol level.

Calculated values
formation energy from raw total energies	-0.87	eV per atom
DOS at the Fermi energy	0.07	states/eV/cell

Cell and atoms, written as POSCAR:
```
Ba2ZnSb2
1.0
-6.042 -2.986 -1.606
3.084 -6.442 0.375
-0.149 4.333 7.451
Sb Zn Ba
4 2 4
direct
0.389 0.183 0.778
0.611 0.817 0.222
0.111 0.405 0.222
0.889 0.595 0.778
0.750 0.500 0.000
0.250 0.500 0.000
0.136 0.932 0.273
0.864 0.068 0.727
0.364 0.659 0.727
0.636 0.341 0.273
```

Below is crystalline BaZnSb2 at its relaxed geometry, with properties calculated at the PBEsol level.

Calculated values
formation energy from raw total energies	-0.36	eV per atom
DOS at the Fermi energy	1.85	states/eV/cell

Cell and atoms, written as POSCAR:
```
BaZnSb2
1.0
4.398 0.000 0.000
-2.199 4.889 0.041
0.000 -2.206 5.529
Ba Sb Zn
1 2 1
direct
0.238 0.477 0.733
0.024 0.049 0.104
0.764 0.528 0.270
0.473 0.946 0.393
```

Below is crystalline BaZnSb2 at its relaxed geometry, with properties calculated at the PBEsol level.

Calculated values
formation energy from raw total energies	-0.61	eV per atom
DOS at the Fermi energy	1.78	states/eV/cell

Cell and atoms, written as POSCAR:
```
BaZnSb2
1.0
-0.644 -3.864 -2.067
1.579 -2.153 3.533
-11.411 2.410 3.794
Sb Zn Ba
4 2 2
direct
0.500 0.000 0.000
0.318 0.318 0.636
0.000 0.500 0.000
0.682 0.682 0.364
0.250 0.750 0.500
0.750 0.250 0.500
0.117 0.117 0.235
0.883 0.883 0.765
```

Below is crystalline BaZn2Sb2 at its relaxed geometry, with properties calculated at the PBEsol level.

Calculated values
formation energy from raw total energies	-0.52	eV per atom
DOS at the Fermi energy	1.47	states/eV/cell

Cell and atoms, written as POSCAR:
```
BaZn2Sb2
1.0
-0.447 1.563 4.185
2.515 -9.351 3.761
11.149 3.024 0.063
Ba Zn Sb
4 8 8
direct
0.750 0.253 0.321
0.250 0.747 0.679
0.750 0.753 0.179
0.250 0.247 0.821
0.250 0.595 0.954
0.750 0.405 0.046
0.750 0.905 0.454
0.250 0.095 0.546
0.250 0.055 0.121
0.750 0.945 0.879
0.250 0.555 0.379
0.750 0.445 0.621
0.250 0.351 0.535
0.750 0.649 0.465
0.750 0.149 0.035
0.250 0.851 0.965
0.250 0.471 0.163
0.750 0.529 0.837
0.250 0.971 0.337
0.750 0.029 0.663
```

Below is crystalline BaSc2 at its relaxed geometry, with properties calculated at the PBEsol level.

Calculated values
formation enthalpy at 0 K	1080	meV/atom
DOS at the Fermi energy	5.70	states/eV/cell

Cell and atoms, written as POSCAR:
```
BaSc2
1.0
3.644 0.000 0.000
0.000 5.360 0.000
0.000 0.000 5.360
Ba Sc
1 2
direct
0.000 0.000 0.000
0.500 0.000 0.500
0.500 0.500 0.000
```

Below is crystalline BaSc4 at its relaxed geometry, with properties calculated at the PBEsol level.

Calculated values
formation enthalpy at 0 K	1182	meV/atom
DOS at the Fermi energy	11.05	states/eV/cell

Cell and atoms, written as POSCAR:
```
BaSc4
1.0
5.774 0.000 0.000
-1.925 5.444 0.000
-1.925 -2.722 4.714
Ba Sc
1 4
direct
0.000 0.000 0.000
0.000 0.000 0.500
0.000 0.500 0.000
0.500 0.000 0.000
0.500 0.500 0.500
```

Below is crystalline Ba3Sc at its relaxed geometry, with properties calculated at the PBEsol level.

Calculated values
formation enthalpy at 0 K	279	meV/atom
DOS at the Fermi energy	6.29	states/eV/cell
relative energy among the computed polymorphs	0	meV/atom

Cell and atoms, written as POSCAR:
```
Ba3Sc
1.0
3.999 0.000 0.000
-2.000 3.463 0.000
0.000 0.000 12.893
Ba Sc
3 1
direct
0.000 0.000 0.280
0.000 0.000 0.720
0.333 0.667 0.000
0.333 0.667 0.500
```

Below is crystalline Ba3Sc at its relaxed geometry, with properties calculated at the PBEsol level.

Calculated values
formation enthalpy at 0 K	306	meV/atom
DOS at the Fermi energy	4.84	states/eV/cell
relative energy among the computed polymorphs	27	meV/atom

Cell and atoms, written as POSCAR:
```
Ba3Sc
1.0
-0.858 1.878 4.083
-5.892 -2.172 -0.239
1.841 -5.303 2.826
Ba Sc
3 1
direct
0.000 0.000 0.500
0.500 0.500 0.500
0.000 0.500 0.000
0.500 0.000 0.000
```